The following is a DFT calculation (PBE) of a relaxed Sr3SmCd4 crystal.

- Raw total energy: -2.001 eV per atom
- DFT formation energy: -0.322 eV/atom
- Fermi-level density of states: 6.866 states/eV/f.u.

a = 3.9689 Å, b = 3.9689 Å, c = 16.1568 Å
α = 90.00°, β = 90.00°, γ = 90.00°
Fractional coordinates of all 8 atoms:
Sr1 0.0000 0.0000 0.0000
Sr2 0.0000 0.0000 0.2586
Sr3 0.0000 0.0000 0.7414
Sm1 0.0000 0.0000 0.5000
Cd1 0.5000 0.5000 0.1294
Cd2 0.5000 0.5000 0.3917
Cd3 0.5000 0.5000 0.6083
Cd4 0.5000 0.5000 0.8706

=====

The following is a DFT calculation (PBE) of a relaxed BaFeCu2 crystal.

- Raw total energy: -4.458 eV per atom
- DFT formation energy: 0.187 eV/atom
- Fermi-level density of states: 2.424 states/eV/f.u.

a = 4.2552 Å, b = 4.2552 Å, c = 6.1461 Å
α = 110.18°, β = 110.18°, γ = 59.99°
Fractional coordinates of all 4 atoms:
Ba1 0.0000 0.0000 0.0000
Fe1 0.8150 0.8150 0.4474
Cu1 0.1825 0.1825 0.5503
Cu2 0.4953 0.4953 0.4883

=====

The following is a DFT calculation (PBE) of a relaxed Tb5TlAu4 crystal.

- Raw total energy: -4.611 eV per atom
- DFT formation energy: -0.748 eV/atom
- Fermi-level density of states: 7.490 states/eV/f.u.

a = 3.6106 Å, b = 3.6106 Å, c = 18.7310 Å
α = 90.00°, β = 90.00°, γ = 90.00°
Fractional coordinates of all 10 atoms:
Tb1 0.0000 0.0000 0.0000
Tb2 0.0000 0.0000 0.1939
Tb3 0.0000 0.0000 0.3866
Tb4 0.0000 0.0000 0.6134
Tb5 0.0000 0.0000 0.8061
Tl1 0.5000 0.5000 0.5000
Au1 0.5000 0.5000 0.0968
Au2 0.5000 0.5000 0.2920
Au3 0.5000 0.5000 0.7080
Au4 0.5000 0.5000 0.9032

=====

The following is a DFT calculation (PBE) of a relaxed SrTaNb2Se crystal.

- Uncorrected formation energy: 676 meV/atom
- Raw total energy: -6.756 eV per atom
- Fermi-level density of states: 9.841 states/eV/f.u.

a = 4.9292 Å, b = 4.9292 Å, c = 4.9021 Å
α = 90.00°, β = 90.00°, γ = 90.00°
Fractional coordinates of all 5 atoms:
Sr1 0.0000 0.0000 0.0000
Ta1 0.5000 0.5000 0.0000
Nb1 0.0000 0.5000 0.5000
Nb2 0.5000 0.0000 0.5000
Se1 0.5000 0.5000 0.5000

=====

The following is a DFT calculation (PBE) of a relaxed ZrPbBr2 crystal.

- Uncorrected formation energy: -519 meV/atom
- Raw total energy: -4.420 eV per atom
- Fermi-level density of states: 1.345 states/eV/f.u.

a = 3.4915 Å, b = 5.1271 Å, c = 6.4661 Å
α = 90.00°, β = 104.53°, γ = 90.00°
Fractional coordinates of all 4 atoms:
Zr1 0.0000 0.0000 0.0000
Pb1 0.3875 0.5000 0.7620
Br1 0.0798 0.5000 0.1725
Br2 0.6584 0.0000 0.3409

=====

The following is a DFT calculation (PBE) of a relaxed RbF3 crystal.

- Uncorrected formation energy: -1123 meV/atom
- Raw total energy: -2.768 eV per atom
- Fermi-level density of states: 14.631 states/eV/f.u.

a = 4.6155 Å, b = 4.6155 Å, c = 4.6155 Å
α = 60.00°, β = 60.00°, γ = 60.00°
Fractional coordinates of all 4 atoms:
Rb1 0.0000 0.0000 0.0000
F1 0.2500 0.2500 0.2500
F2 0.5000 0.5000 0.5000
F3 0.7500 0.7500 0.7500